[1]
The following is a PBE calculation of Ta3Co2H4 after structural relaxation, from the Alexandria database.

* final energy: -62.765 eV/cell
* SG: No. 12

abc: 2.777 4.851 6.671
angles: 102.35 90.00 106.63
Atoms (fractional coordinates):
Ta  0.385  0.770  0.608
Ta  0.000  0.000  0.000
Ta  0.615  0.230  0.392
Co  0.307  0.614  0.187
Co  0.693  0.386  0.813
H  0.672  0.344  0.089
H  0.082  0.163  0.720
H  0.918  0.837  0.280
H  0.328  0.656  0.911


[2]
The following is a PBE calculation of RuSN2F after structural relaxation, from the Alexandria database.

* energy relative to the elements, uncorrected: 817 meV/atom
* final energy: -27.842 eV/cell
* ΔE to the lowest computed polymorph: 0.0000 eV/atom
* SG: No. 123

abc: 3.722 3.722 5.023
angles: 90.00 90.00 90.00
Each line ends with the local moment (μB).
Atoms (fractional coordinates):
Ru  0.000  0.000  0.000  0.01
S  0.000  0.000  0.500  0.17
N  0.000  0.500  0.000  0.00
N  0.500  0.000  0.000  0.00
F  0.500  0.500  0.500  0.05